# VSb2Pt, optimized geometry, DFT PBE
# Energy relative to the elements, uncorrected, eV per atom: 0.054
# Calculated total energy, eV per formula unit: -23.2
# ΔE to the lowest computed polymorph, eV per formula unit: 0.00
# ρ, g cm⁻³: 9.2
# DOS(E_F), states/eV/cell: 9.2
data_VSb2Pt
_cell_length_a 4.518
_cell_length_b 4.518
_cell_length_c 17.370
_cell_angle_alpha 90.00
_cell_angle_beta 90.00
_cell_angle_gamma 90.00
_space_group_name_H-M_alt 'I -4 2 d'
_space_group_IT_number 122
_space_group_name_Hall 'I -4 2bw'
loop_
_atom_site_label
_atom_site_fract_x
_atom_site_fract_y
_atom_site_fract_z
V1 0.000 0.000 0.000
Sb1 0.247 0.250 0.625
Pt1 0.000 0.000 0.500